No. 1
# ReSiB2

A geometry-optimized ReSiB2 structure (GGA-PBEsol, Alexandria via LeMat-Bulk).

Summary:
Formation energy without anion corrections: 0.6807 eV per atom
D(E_F): 1.9 states/eV/f.u.
Total magnetic moment: 0.00 μB per atom

Cell and atoms, written as POSCAR:
```
ReSiB2
1.0
-2.398 2.398 4.553
2.398 -2.398 4.553
2.398 2.398 -4.553
Re Si B
2 2 4
Cartesian
0.000 0.000 0.000
0.000 2.398 2.277
2.398 0.000 2.277
0.000 0.000 4.553
1.199 -1.199 3.415
1.199 1.199 1.138
1.199 3.597 -1.138
1.199 1.199 5.692
```

No. 2
# BaCaPt2

A geometry-optimized BaCaPt2 structure (GGA-PBEsol, Alexandria via LeMat-Bulk).

Summary:
Electronic total energy: -20.46 eV for the cell shown
D(E_F): 1.0 states/eV/f.u.
Total magnetic moment: 0.00 μB per atom

Cell and atoms, written as POSCAR:
```
BaCaPt2
1.0
5.163 0.000 0.000
0.000 5.163 0.000
0.000 0.000 3.575
Ba Ca Pt
1 1 2
Cartesian
0.000 0.000 0.000
2.581 2.581 0.000
0.000 2.581 1.788
2.581 0.000 1.788
```

No. 3
# Zr2Mn2I

A geometry-optimized Zr2Mn2I structure (GGA-PBEsol, Alexandria via LeMat-Bulk).

Summary:
Formation energy without anion corrections: 0.1719 eV per atom
D(E_F): 7.7 states/eV/f.u.
Total magnetic moment: 0.00 μB per atom

Cell and atoms, written as POSCAR:
```
Zr2Mn2I
1.0
-1.666 1.666 8.180
1.666 -1.666 8.180
1.666 1.666 -8.180
Zr Mn I
2 2 1
Cartesian
0.000 0.000 1.976
0.000 0.000 14.385
1.666 0.000 4.090
0.000 1.666 4.090
0.000 0.000 8.180
```

Q: Which of these has the highest D(E_F)?
A: Zr2Mn2I